1.
This record from Alexandria via LeMat-Bulk describes an optimized crystal structure of KBaTa2. The functional is PBE.

Values from the calculation:
Raw total energy (eV per atom): -5.803
M_tot (Bohr magnetons per cell): 0.0

Structure (POSCAR):
```
KBaTa2
1.0
3.226 -0.018 0.000
-0.944 3.084 0.000
0.000 0.000 12.089
Ta K Ba
2 1 1
Direct
0.000 0.000 0.055
0.500 0.500 0.207
0.500 0.500 0.788
0.000 0.000 0.450
```


2.
This record from Alexandria via LeMat-Bulk describes an optimized crystal structure of SrFeSb2Te. The functional is PBE.

Values from the calculation:
Formation energy (no corrections) (eV/atom): 1.5972
M_tot (Bohr magnetons per cell): 0.1

Structure (POSCAR):
```
SrFeSb2Te
1.0
5.893 0.000 0.000
0.000 5.893 0.000
0.000 0.000 5.636
Sr Te Sb Fe
1 1 2 1
Direct
0.000 0.000 0.000
0.000 0.000 0.500
0.500 0.000 0.000
0.000 0.500 0.000
0.500 0.500 0.500
```


3.
This record from Alexandria via LeMat-Bulk describes an optimized crystal structure of GaGeOs2Se. The functional is PBE.

Values from the calculation:
Formation energy (no corrections) (eV/atom): 1.6749
M_tot (Bohr magnetons per cell): 0.2

Structure (POSCAR):
```
GaGeOs2Se
1.0
4.654 0.000 0.000
0.000 4.596 0.000
0.000 0.000 4.654
Se Ge Os Ga
1 1 2 1
Direct
0.500 0.500 0.500
0.000 0.500 0.000
0.500 0.000 0.000
0.000 0.000 0.500
0.000 0.000 0.000
```


4.
This record from Alexandria via LeMat-Bulk describes an optimized crystal structure of LaMg2Re. The functional is PBE.

Values from the calculation:
Raw total energy (eV per atom): -4.718
M_tot (Bohr magnetons per cell): 0.5

Structure (POSCAR):
```
LaMg2Re
1.0
3.580 0.000 0.000
0.000 4.661 0.000
0.000 0.000 5.276
La Mg Re
1 2 1
Direct
0.000 0.500 0.500
0.000 0.000 0.000
0.500 0.500 0.000
0.500 0.000 0.500
```